(1)
# TcAgS2Cl (PBE-GGA, relaxed)
# Energy above the lowest structure with this stoichiometry ... 853 meV/atom
# Spin magnetization ... 4.62 μB per cell
# Total energy ... -3.687 eV per atom
# N(E_F) ... 2.2 states/eV/f.u.
data_TcAgS2Cl
_chemical_formula_sum 'Tc1 Ag1 S2 Cl1'
_cell_length_a 4.872
_cell_length_b 4.872
_cell_length_c 4.827
_cell_angle_alpha 90.00
_cell_angle_beta 90.00
_cell_angle_gamma 90.00
_space_group_name_H-M_alt 'P 4/m m m'
_space_group_IT_number 123
_space_group_name_Hall '-P 4 2'
loop_
_atom_site_label
_atom_site_type_symbol
_atom_site_fract_x
_atom_site_fract_y
_atom_site_fract_z
Tc1 Tc 0.000 0.000 0.000
Ag1 Ag 0.500 0.500 0.500
S1 S 0.000 0.500 0.500
Cl1 Cl 0.500 0.500 0.000


(2)
# TcAgSCl2 (PBE-GGA, relaxed)
# Energy above the lowest structure with this stoichiometry ... 689 meV/atom
# Spin magnetization ... 5.05 μB per cell
# Total energy ... -3.494 eV per atom
# N(E_F) ... 0.9 states/eV/f.u.
data_TcAgSCl2
_chemical_formula_sum 'Tc1 Ag1 S1 Cl2'
_cell_length_a 4.882
_cell_length_b 4.882
_cell_length_c 5.059
_cell_angle_alpha 90.00
_cell_angle_beta 90.00
_cell_angle_gamma 90.00
_space_group_name_H-M_alt 'P 4/m m m'
_space_group_IT_number 123
_space_group_name_Hall '-P 4 2'
loop_
_atom_site_label
_atom_site_type_symbol
_atom_site_fract_x
_atom_site_fract_y
_atom_site_fract_z
Tc1 Tc 0.000 0.000 0.000
Ag1 Ag 0.500 0.500 0.500
S1 S 0.500 0.500 0.000
Cl1 Cl 0.000 0.500 0.500


(3)
# TcAgS2Cl (PBE-GGA, relaxed)
# Energy above the lowest structure with this stoichiometry ... 0 meV/atom
# Spin magnetization ... 0.00 μB per cell
# Total energy ... -4.539 eV per atom
# N(E_F) ... 1.3 states/eV/f.u.
data_TcAgS2Cl
_chemical_formula_sum 'Tc1 Ag1 S2 Cl1'
_cell_length_a 4.544
_cell_length_b 4.544
_cell_length_c 5.202
_cell_angle_alpha 90.00
_cell_angle_beta 90.00
_cell_angle_gamma 90.00
_space_group_name_H-M_alt 'P 4/m m m'
_space_group_IT_number 123
_space_group_name_Hall '-P 4 2'
loop_
_atom_site_label
_atom_site_type_symbol
_atom_site_fract_x
_atom_site_fract_y
_atom_site_fract_z
Tc1 Tc 0.000 0.000 0.000
Ag1 Ag 0.500 0.500 0.500
S1 S 0.000 0.500 0.000
Cl1 Cl 0.000 0.000 0.500


(4)
# Ag4Te2S5Cl (PBE-GGA, relaxed)
# Spin magnetization ... 0.00 μB per cell
# Total energy ... -3.380 eV per atom
# N(E_F) ... 4.8 states/eV/f.u.
data_Ag4Te2S5Cl
_chemical_formula_sum 'Ag8 Te4 S10 Cl2'
_cell_length_a 7.854
_cell_length_b 16.281
_cell_length_c 5.261
_cell_angle_alpha 90.00
_cell_angle_beta 90.00
_cell_angle_gamma 90.00
_space_group_name_H-M_alt 'A m m 2'
_space_group_IT_number 38
loop_
_space_group_symop_operation_xyz
'x,y,z'
'-x,-y,z'
'-x,y,z'
'x,-y,z'
'x,y+1/2,z+1/2'
'-x,-y+1/2,z+1/2'
'-x,y+1/2,z+1/2'
'x,-y+1/2,z+1/2'
loop_
_atom_site_label
_atom_site_type_symbol
_atom_site_fract_x
_atom_site_fract_y
_atom_site_fract_z
Ag1 Ag 0.000 0.105 0.000
Ag2 Ag 0.289 0.000 0.333
Te1 Te 0.500 0.154 0.875
S1 S 0.275 0.149 0.180
S2 S 0.500 0.000 0.720
Cl1 Cl 0.000 0.000 0.627


| no. | volume (Å³ per cell) | calculated density (g/cm3) | formation energy without anion corrections (eV per atom) |
| --- | --- | --- | --- |
| 1 | 114.60 | 4.43 | 0.98 |
| 2 | 120.60 | 4.25 | 0.71 |
| 3 | 107.43 | 4.72 | 0.12 |
| 4 | 672.70 | 4.36 | -0.03 |